Computed, not measured: crystalline SiOsPb2 at its relaxed geometry at the GGA-PBE level of DFT.

Geometry as POSCAR:
```
SiOsPb2
1.0
-4.6548 4.0892 0.3496
-3.9025 -4.5736 1.5374
-2.9879 0.7059 7.0405
Pb Si Os
4 2 2
Direct
0.6362 0.1250 0.2500 Pb
0.1138 0.6250 0.2500 Pb
0.3750 0.3638 0.7500 Pb
0.8750 0.8862 0.7500 Pb
0.5000 0.5000 0.0000 Si
0.2500 0.7500 0.5000 Si
0.0000 0.0000 0.0000 Os
0.7500 0.2500 0.5000 Os
```

Properties
crystal system	tetragonal

***

Computed, not measured: crystalline CaCo2TeCl at its relaxed geometry at the GGA-PBE level of DFT.

Geometry as POSCAR:
```
CaCo2TeCl
1.0
5.3569 0.0000 0.0000
0.0000 5.6408 0.0000
0.0000 0.0000 5.3569
Ca Te Co Cl
1 1 2 1
Direct
0.0000 0.0000 0.0000 Ca
0.0000 0.5000 0.0000 Te
0.0000 0.0000 0.5000 Co
0.5000 0.0000 0.0000 Co
0.5000 0.5000 0.5000 Cl
```

Properties
crystal system	tetragonal

***

Computed, not measured: crystalline SrLaCr2S at its relaxed geometry at the GGA-PBE level of DFT.

Geometry as POSCAR:
```
SrLaCr2S
1.0
-4.2489 1.3979 -1.7966
-0.6833 -5.6556 -2.7846
-2.2163 -1.6723 3.9403
Sr S Cr La
1 1 2 1
Direct
0.0000 0.0000 0.0000 Sr
0.5000 0.5000 0.5000 S
0.0000 0.0000 0.5000 Cr
0.5000 0.0000 0.0000 Cr
0.0000 0.5000 0.0000 La
```

Properties
crystal system	tetragonal

***

| no. | uncorrected formation energy (eV/atom) | total magnetic moment (μB/atom) |
| --- | --- | --- |
| 1 | 1.201 | 0.00 |
| 2 | 1.354 | 1.01 |
| 3 | 1.640 | 1.42 |